Entry 1:
Compound: ZnCd2W
Source: Alexandria via LeMat-Bulk
Functional: PBE
Structure: optimized geometry

abc: 2.8482 4.2288 6.0442
angles: 90.00 90.00 90.00
Space group Pmm2 (No. 25)
Asymmetric unit:
Zn1 0.0000 0.0000 0.0000 x1
Cd1 0.0000 0.0000 0.5511 x1
Cd2 0.5000 0.5000 0.2846 x1
W1 0.5000 0.5000 0.8081 x1

Properties
DFT formation energy = 0.494 eV/atom

***

Entry 2:
Compound: Zn3CdW
Source: Alexandria via LeMat-Bulk
Functional: PBE
Structure: optimized geometry

abc: 4.9268 4.9268 4.9268
angles: 90.00 90.00 90.00
Space group Pm-3m (No. 221)
Asymmetric unit:
Zn1 0.0000 0.0000 0.5000 x3
Cd1 0.5000 0.5000 0.5000 x1
W1 0.0000 0.0000 0.0000 x1

Properties
DFT formation energy = 1.091 eV/atom

***

Entry 3:
Compound: Zn2CdW
Source: Alexandria via LeMat-Bulk
Functional: PBE
Structure: optimized geometry

abc: 2.7717 2.7717 8.5972
angles: 90.00 90.00 90.00
Space group P4mm (No. 99)
Asymmetric unit:
Zn1 0.0000 0.0000 0.0000 x1
Zn2 0.5000 0.5000 0.2260 x1
Cd1 0.0000 0.0000 0.4955 x1
W1 0.5000 0.5000 0.7655 x1

Properties
DFT formation energy = 0.310 eV/atom

***

Entry 4:
Compound: ZnCdW2
Source: Alexandria via LeMat-Bulk
Functional: PBE
Structure: optimized geometry

abc: 3.3079 3.3079 6.3263
angles: 90.00 90.00 90.00
Space group P4mm (No. 99)
Asymmetric unit:
Zn1 0.0000 0.0000 0.0000 x1
Cd1 0.5000 0.5000 0.2460 x1
W1 0.0000 0.0000 0.5560 x1
W2 0.5000 0.5000 0.7421 x1

Properties
DFT formation energy = 0.393 eV/atom

***

Q: Which of these has the highest DFT formation energy?
A: Zn3CdW

***

Q: Look up the DFT formation energy of the fourth one.
A: 0.393 eV/atom